DFT (PBE) results for a geometry-optimized MnAsCl2 structure.

Values from the calculation:
The formation energy without anion corrections is 0.39 eV/f.u. As for the crystal system: tetragonal. Its energy relative to the lowest polymorph listed for this composition is 517 meV per atom. The total energy is -4.2809 eV per atom.

a = 7.324 Å, b = 7.324 Å, c = 9.484 Å
α = 90.00°, β = 90.00°, γ = 90.00°
Space group I-42d (No. 122)
Symmetry-distinct sites (fractional):
Mn  0.000  0.000  0.000 (multiplicity 4)
As  0.000  0.000  0.500 (multiplicity 4)
Cl  0.128  0.250  0.125 (multiplicity 8)